First-principles (PBE) data for Mg2ZrPtO after structural relaxation, as listed in Alexandria via LeMat-Bulk.

Results
Calculated total energy ... -5.906 eV/atom
M_tot ... 0.0 μB per formula unit
Density ... 7.6 Mg/m³
Formation energy without anion corrections ... -1.3583 eV per atom

a b c (Å): 4.0983 4.0983 4.5843
angles (deg): 90.00 90.00 90.00
With the nearest neighbours (Å) after each atom.
Element x y z (fractional)
1 O 0.0000 0.0000 0.0000  4 Mg 2.05, 2 Zr 2.29
2 Mg 0.0000 0.5000 0.0000  2 O 2.05
3 Mg 0.5000 0.0000 0.0000  2 O 2.05
4 Pt 0.5000 0.5000 0.5000  4 Zr 2.90, 8 Mg 3.07
5 Zr 0.0000 0.0000 0.5000  2 O 2.29